(1)
Li2CdOs, optimized geometry, DFT PBE; energy = -0.1395 hartree per atom; space group = C2/m, No. 12; N(E_F) = 0.408 states/eV/atom; crystal system = monoclinic
1.0
4.6458 -1.3445 0.0000
4.6458 1.3445 0.0000
-0.6621 0.0000 5.0082
Li Cd Os
2 1 1
Direct
0.2473 0.2473 0.2139 Li
0.7527 0.7527 0.7861 Li
0.0000 0.0000 0.5000 Cd
0.5000 0.5000 0.0000 Os



(2)
NaLiAcRh, optimized geometry, DFT PBE; energy = -0.1362 hartree per atom; space group = F-43m, No. 216; N(E_F) = 0.181 states/eV/atom; crystal system = cubic
1.0
0.0000 3.6393 3.6393
3.6393 0.0000 3.6393
3.6393 3.6393 0.0000
Na Li Ac Rh
1 1 1 1
Direct
0.0000 0.0000 0.0000 Na
0.7500 0.7500 0.7500 Li
0.5000 0.5000 0.5000 Ac
0.2500 0.2500 0.2500 Rh



(3)
Rb3Sm2PtO6, optimized geometry, DFT PBE; energy = -0.2175 hartree per atom; space group = C2/m, No. 12; formation energy without anion corrections = -22.9 eV per formula unit; crystal system = monoclinic
1.0
3.1448 -5.1576 0.0000
3.1448 5.1576 0.0000
-2.3472 0.0000 6.5522
Rb Sm Pt O
3 2 1 6
Direct
0.0000 0.0000 0.0000 Rb
0.3361 0.6639 0.0000 Rb
0.6639 0.3361 0.0000 Rb
0.1646 0.8354 0.5000 Sm
0.8354 0.1646 0.5000 Sm
0.5000 0.5000 0.5000 Pt
0.1314 0.4369 0.3347 O
0.2023 0.2023 0.7107 O
0.4369 0.1314 0.3347 O
0.5631 0.8686 0.6653 O
0.7977 0.7977 0.2893 O
0.8686 0.5631 0.6653 O



(4)
PaPdPtO6, optimized geometry, DFT PBE; energy = -0.2639 hartree per atom; space group = P4_2nm, No. 102; formation energy without anion corrections = -14.2 eV per formula unit; N(E_F) = 0.355 states/eV/atom; crystal system = tetragonal
1.0
4.8857 0.0000 0.0000
0.0000 4.8857 0.0000
0.0000 0.0000 9.7856
Pa Pd Pt O
2 2 2 12
Direct
0.0000 0.0000 0.0000 Pa
0.5000 0.5000 0.5000 Pa
0.0000 0.0000 0.6726 Pd
0.5000 0.5000 0.1726 Pd
0.0000 0.0000 0.3308 Pt
0.5000 0.5000 0.8308 Pt
0.1830 0.1830 0.4944 O
0.1985 0.1985 0.1722 O
0.2073 0.2073 0.8347 O
0.2927 0.7073 0.3347 O
0.3015 0.6985 0.6722 O
0.3170 0.6830 0.9944 O
0.6830 0.3170 0.9944 O
0.6985 0.3015 0.6722 O
0.7073 0.2927 0.3347 O
0.7927 0.7927 0.8347 O
0.8015 0.8015 0.1722 O
0.8170 0.8170 0.4944 O



(5)
PmPaPd2, optimized geometry, DFT PBE; energy = -0.2446 hartree per atom; space group = R-3m, No. 166; N(E_F) = 0.930 states/eV/atom; relative energy among the computed polymorphs = 37.9 meV per atom; crystal system = trigonal
1.0
1.9657 1.1349 7.3914
-1.9657 1.1349 7.3914
0.0000 -2.2698 7.3914
Pm Pa Pd
1 1 2
Direct
0.0000 0.0000 0.0000 Pm
0.5000 0.5000 0.5000 Pa
0.2426 0.2426 0.2426 Pd
0.7574 0.7574 0.7574 Pd



(6)
Mg3Ag2I8, optimized geometry, DFT PBE; energy = -0.0932 hartree per atom; space group = C2/m, No. 12; formation energy without anion corrections = -10.1 eV per formula unit; N(E_F) = 0.000 states/eV/atom; crystal system = monoclinic
1.0
8.0587 -4.3385 0.0000
8.0587 4.3385 0.0000
-2.4323 0.0000 7.1066
Mg Ag I
3 2 8
Direct
0.0000 0.0000 0.0000 Mg
0.2474 0.7526 0.5000 Mg
0.7526 0.2474 0.5000 Mg
0.4009 0.4009 0.9393 Ag
0.5991 0.5991 0.0607 Ag
0.1083 0.1083 0.7458 I
0.1150 0.6605 0.7412 I
0.3395 0.8850 0.2588 I
0.3842 0.3842 0.2936 I
0.6158 0.6158 0.7064 I
0.6605 0.1150 0.7412 I
0.8850 0.3395 0.2588 I
0.8917 0.8917 0.2542 I